(1)
Density functional theory data (PBE) for a relaxed ScHgTeCl2 crystal.

Cell and atoms, written as POSCAR:
```
ScHgTeCl2
1.0
4.761 0.000 0.000
0.000 4.761 0.000
0.000 0.000 6.615
Sc Hg Te Cl
1 1 1 2
direct
0.000 0.000 0.000 Sc
0.000 0.000 0.500 Hg
0.500 0.500 0.500 Te
0.000 0.500 0.000 Cl
0.500 0.000 0.000 Cl
```

Calculated volume, Å³/atom: 30.0
Raw total energy, hartree per atom: -0.1287
Space group: No. 123
Formation energy from raw total energies, kJ/mol of formula units: -390

(2)
Density functional theory data (PBE) for a relaxed ScTlHgCl6 crystal.

Cell and atoms, written as POSCAR:
```
ScTlHgCl6
1.0
6.861 0.000 0.000
-3.431 5.942 0.000
0.000 0.000 13.857
Sc Tl Hg Cl
2 2 2 12
direct
0.333 0.667 0.250 Sc
0.667 0.333 0.750 Sc
0.000 0.000 0.000 Tl
0.000 0.000 0.500 Tl
0.333 0.667 0.750 Hg
0.667 0.333 0.250 Hg
0.022 0.386 0.143 Cl
0.022 0.636 0.357 Cl
0.364 0.386 0.357 Cl
0.364 0.978 0.143 Cl
0.386 0.022 0.643 Cl
0.386 0.364 0.857 Cl
0.614 0.636 0.143 Cl
0.614 0.978 0.357 Cl
0.636 0.022 0.857 Cl
0.636 0.614 0.643 Cl
0.978 0.364 0.643 Cl
0.978 0.614 0.857 Cl
```

Calculated volume, Å³/atom: 31.4
Raw total energy, hartree per atom: -0.1321
Space group: No. 163
Formation energy from raw total energies, kJ/mol of formula units: -1185

(3)
Density functional theory data (PBE) for a relaxed YSc2HgCl crystal.

Cell and atoms, written as POSCAR:
```
YSc2HgCl
1.0
5.350 0.000 0.000
0.000 5.350 0.000
0.000 0.000 5.736
Y Sc Hg Cl
1 2 1 1
direct
0.000 0.000 0.000 Y
0.000 0.500 0.500 Sc
0.500 0.000 0.500 Sc
0.000 0.000 0.500 Hg
0.500 0.500 0.000 Cl
```

Calculated volume, Å³/atom: 32.8
Raw total energy, hartree per atom: -0.1516
Space group: No. 123
Formation energy from raw total energies, kJ/mol of formula units: 62

(4)
Density functional theory data (PBE) for a relaxed HgSe2Cl crystal.

Cell and atoms, written as POSCAR:
```
HgSe2Cl
1.0
3.817 0.000 0.000
0.000 3.817 0.000
0.000 0.000 8.225
Hg Se Cl
1 2 1
direct
0.000 0.000 0.000 Hg
0.000 0.000 0.325 Se
0.500 0.500 0.358 Se
0.500 0.500 0.883 Cl
```

Calculated volume, Å³/atom: 30.0
Raw total energy, hartree per atom: -0.0871
Excess energy over the best structure of this formula in the dataset, meV per atom: 59
Space group: No. 99
Formation energy from raw total energies, kJ/mol of formula units: -35

> What is the formation energy from raw total energies in the fourth record?

-35 kJ/mol of formula units